Arrangement w

Ti2SnO after structural relaxation, computed with PBE.

Cell lengths 3.2578, 3.2578, 19.7238 Å; angles 90.00, 90.00, 120.00 degrees
With the nearest neighbours (Å) after each atom.
Space group R-3m (No. 166, hexagonal axes)
One atom of each set of equivalent atoms:
Ti (0.0000, 0.0000, 0.2161) x6  3 O 2.12
Sn (0.0000, 0.0000, 0.0000) x3  6 Ti 2.98, 6 Sn 3.26
O (0.0000, 0.0000, 0.5000) x3  6 Ti 2.12

Arrangement x

Ti2SnO after structural relaxation, computed with PBE.

Cell lengths 6.3726, 6.3726, 6.3726 Å; angles 90.00, 90.00, 90.00 degrees
With the nearest neighbours (Å) after each atom.
Space group Fm-3m (No. 225)
One atom of each set of equivalent atoms:
Ti (0.2500, 0.2500, 0.2500) x8  4 O 2.76, 4 Sn 2.76
Sn (0.0000, 0.0000, 0.0000) x4  8 Ti 2.76
O (0.0000, 0.0000, 0.5000) x4  8 Ti 2.76

Calculated relative energies: arrangement w 0.000; arrangement x 1.038, given in eV/atom

Arrangement w

Ti2SnO after structural relaxation, computed with PBE.

Cell lengths 6.3256, 6.3256, 6.7018 Å; angles 90.00, 90.00, 90.00 degrees
With the nearest neighbours (Å) after each atom.
Space group I-42d (No. 122)
One atom of each set of equivalent atoms:
Ti (0.1256, 0.2500, 0.1250) x8  2 O 1.96
Sn (0.0000, 0.0000, 0.5000) x4  8 Ti 2.97-3.07
O (0.0000, 0.0000, 0.0000) x4  4 Ti 1.96

Arrangement x

Ti2SnO after structural relaxation, computed with PBE.

Cell lengths 3.1682, 3.1682, 20.3713 Å; angles 90.00, 90.00, 120.00 degrees
With the nearest neighbours (Å) after each atom.
Space group R3m (No. 160, hexagonal axes)
One atom of each set of equivalent atoms:
Ti (0.0000, 0.0000, 0.0000) x3  3 O 2.13
Ti (0.0000, 0.0000, 0.2245) x3  3 O 2.15
Sn (0.0000, 0.0000, 0.4448) x3  6 Ti 2.92-2.94, 6 Sn 3.17
O (0.0000, 0.0000, 0.6135) x3  6 Ti 2.13-2.15

Arrangement y

Ti2SnO after structural relaxation, computed with PBE.

Cell lengths 6.5057, 3.7674, 9.9836 Å; angles 90.00, 90.00, 90.00 degrees
With the nearest neighbours (Å) after each atom.
Space group Pnma (No. 62)
One atom of each set of equivalent atoms:
Ti (0.1463, 0.2500, 0.0473) x4  3 O 2.05-2.09
Ti (0.1708, 0.2500, 0.7398) x4  2 O 2.15-2.16
Sn (0.0917, 0.2500, 0.3876) x4  7 Ti 2.84-3.00, 1 O 3.14, 2 Sn 3.16
O (0.0666, 0.7500, 0.1094) x4  5 Ti 2.05-2.16

Calculated relative energies: arrangement w 0.066; arrangement x 0.037; arrangement y 0.000, given in eV/atom

Arrangement w

Ti4Sn2O after structural relaxation, computed with PBE.

Cell lengths 4.0958, 4.0958, 14.3469 Å; angles 90.00, 90.00, 90.00 degrees
With the nearest neighbours (Å) after each atom.
Space group I4/mmm (No. 139)
One atom of each set of equivalent atoms:
Ti (0.0000, 0.0000, 0.1522) x4  1 O 2.18
Ti (0.0000, 0.5000, 0.0000) x4  2 O 2.05
Sn (0.0000, 0.0000, 0.3495) x4  9 Ti 2.83-2.98
O (0.0000, 0.0000, 0.0000) x2  6 Ti 2.05-2.18

Arrangement x

Ti4Sn2O after structural relaxation, computed with PBE.

Cell lengths 8.0148, 8.0493, 8.3404 Å; angles 90.00, 90.00, 90.00 degrees
With the nearest neighbours (Å) after each atom.
Space group Fmmm (No. 69)
One atom of each set of equivalent atoms:
Ti (0.0000, 0.0000, 0.2450) x8  1 O 2.04
Ti (0.2504, 0.0000, 0.0000) x8  1 O 2.01
Sn (0.2500, 0.2500, 0.2500) x8  8 Ti 2.84-2.90
O (0.0000, 0.0000, 0.0000) x4  4 Ti 2.01-2.04

Calculated relative energies: arrangement w 0.000; arrangement x 0.273, given in eV/atom